# 1
This record from Alexandria describes crystalline KSb at its relaxed geometry. The functional is GGA-PBE.

Relative energy among the computed polymorphs ... 0.224 eV/atom
ΔE_f (raw) ... -0.2161 eV per atom
SG ... P4/nmm, No. 129

abc: 4.142 4.142 10.176
angles: 90.00 90.00 90.00
Element x y z (fractional)
1 K 0.250 0.250 0.208
2 K 0.750 0.750 0.792
3 Sb 0.250 0.250 0.552
4 Sb 0.750 0.750 0.448

# 2
This record from Alexandria describes crystalline Hg6SbF12 at its relaxed geometry. The functional is GGA-PBE.

ΔE_f (raw) ... -1.4362 eV per atom
SG ... R-3, No. 148

abc: 7.094 7.094 7.094
angles: 99.39 99.39 99.39
Element x y z (fractional)
1 F 0.413 0.595 0.173
2 F 0.587 0.405 0.827
3 F 0.302 0.089 0.958
4 F 0.595 0.173 0.413
5 F 0.173 0.413 0.595
6 F 0.911 0.042 0.698
7 F 0.089 0.958 0.302
8 F 0.958 0.302 0.089
9 F 0.698 0.911 0.042
10 F 0.827 0.587 0.405
11 F 0.042 0.698 0.911
12 F 0.405 0.827 0.587
13 Hg 0.607 0.323 0.141
14 Hg 0.677 0.859 0.393
15 Hg 0.141 0.607 0.323
16 Hg 0.859 0.393 0.677
17 Hg 0.393 0.677 0.859
18 Hg 0.323 0.141 0.607
19 Sb 0.000 0.000 0.000

# 3
This record from Alexandria describes crystalline VIr2Rh at its relaxed geometry. The functional is GGA-PBE.

Relative energy among the computed polymorphs ... 0.000 eV/atom
SG ... P4/mmm, No. 123

abc: 3.818 3.834 3.834
angles: 90.00 90.00 90.00
Element x y z (fractional)
1 Ir 0.000 0.000 0.500
2 Ir 0.000 0.500 0.000
3 Rh 0.500 0.000 0.000
4 V 0.500 0.500 0.500

# 4
This record from Alexandria describes crystalline Li2EuPb at its relaxed geometry. The functional is GGA-PBE.

SG ... P4/mmm, No. 123

abc: 4.554 4.786 4.786
angles: 90.00 90.00 90.00
Element x y z (fractional)
1 Li 0.000 0.000 0.500
2 Li 0.000 0.500 0.000
3 Eu 0.500 0.500 0.500
4 Pb 0.500 0.000 0.000

# 5
This record from Alexandria describes crystalline CsKIn2Pt at its relaxed geometry. The functional is GGA-PBE.

Relative energy among the computed polymorphs ... 0.000 eV/atom
SG ... P4/mmm, No. 123

abc: 5.297 5.297 6.311
angles: 90.00 90.00 90.00
Element x y z (fractional)
1 In 0.500 0.000 0.000
2 In 0.000 0.500 0.000
3 K 0.000 0.000 0.500
4 Pt 0.000 0.000 0.000
5 Cs 0.500 0.500 0.500

# 6
This record from Alexandria describes crystalline ThNbCo2P2 at its relaxed geometry. The functional is GGA-PBE.

SG ... P-3m1, No. 164

abc: 3.823 3.823 7.458
angles: 90.00 90.00 120.00
Element x y z (fractional)
1 P 0.333 0.667 0.287
2 P 0.667 0.333 0.713
3 Th 0.000 0.000 0.000
4 Co 0.333 0.667 0.736
5 Co 0.667 0.333 0.264
6 Nb 0.000 0.000 0.500

# 7
This record from Alexandria describes crystalline Sm3ThIn3 at its relaxed geometry. The functional is GGA-PBE.

SG ... P6_3/m, No. 176

abc: 5.592 9.193 9.193
angles: 120.00 90.00 90.00
Element x y z (fractional)
1 In 0.250 0.816 0.771
2 In 0.250 0.229 0.045
3 In 0.750 0.184 0.229
4 In 0.250 0.955 0.184
5 In 0.750 0.045 0.816
6 In 0.750 0.771 0.955
7 Sm 0.750 0.907 0.359
8 Sm 0.250 0.093 0.641
9 Sm 0.750 0.451 0.093
10 Sm 0.750 0.641 0.549
11 Sm 0.250 0.549 0.907
12 Sm 0.250 0.359 0.451
13 Th 0.250 0.667 0.333
14 Th 0.750 0.333 0.667

# 8
This record from Alexandria describes crystalline RhWC2N at its relaxed geometry. The functional is GGA-PBE.

ΔE_f (raw) ... 1.6942 eV per atom
SG ... P4/mmm, No. 123

abc: 4.091 3.888 4.091
angles: 90.00 90.00 90.00
Element x y z (fractional)
1 C 0.000 0.000 0.500
2 C 0.500 0.000 0.000
3 Rh 0.500 0.500 0.500
4 W 0.000 0.000 0.000
5 N 0.000 0.500 0.000

# 9
This record from Alexandria describes crystalline VCuAu at its relaxed geometry. The functional is GGA-PBE.

Relative energy among the computed polymorphs ... 0.080 eV/atom
SG ... I4mm, No. 107

abc: 2.740 2.740 6.122
angles: 102.93 102.93 90.00
Element x y z (fractional)
1 V 0.959 0.959 0.918
2 Cu 0.609 0.609 0.218
3 Au 0.282 0.282 0.564

# 10
This record from Alexandria describes crystalline RbMnICl6 at its relaxed geometry. The functional is GGA-PBE.

ΔE_f (raw) ... -0.9295 eV per atom
SG ... P1, No. 1

abc: 8.424 7.673 6.862
angles: 70.88 61.82 51.05
Element x y z (fractional)
1 Cl 0.869 0.236 0.508
2 Cl 0.439 0.634 0.824
3 Cl 0.888 0.561 0.702
4 Cl 0.968 0.585 0.169
5 Cl 0.533 0.989 0.479
6 Cl 0.511 0.670 0.289
7 Rb 0.886 0.098 0.037
8 Mn 0.701 0.615 0.494
9 I 0.204 0.611 0.497

# 11
This record from Alexandria describes crystalline Tm3Al8Pt3 at its relaxed geometry. The functional is GGA-PBE.

SG ... C2/m, No. 12

abc: 4.336 8.069 8.132
angles: 70.54 74.54 74.41
Element x y z (fractional)
1 Al 0.651 0.980 0.719
2 Al 0.151 0.565 0.133
3 Al 0.138 0.153 0.572
4 Al 0.862 0.847 0.428
5 Al 0.496 0.338 0.670
6 Al 0.349 0.020 0.281
7 Al 0.849 0.435 0.867
8 Al 0.504 0.662 0.330
9 Pt 0.645 0.715 0.994
10 Pt 0.355 0.285 0.006
11 Pt 0.000 0.500 0.500
12 Tm 0.285 0.718 0.711
13 Tm 0.715 0.282 0.289
14 Tm 0.000 0.000 0.000

# 12
This record from Alexandria describes crystalline TbMg2Cu at its relaxed geometry. The functional is GGA-PBE.

SG ... F-43m, No. 216

abc: 4.915 4.915 4.916
angles: 60.01 60.01 59.99
Element x y z (fractional)
1 Cu 0.750 0.750 0.750
2 Mg 0.000 0.000 0.000
3 Mg 0.250 0.250 0.250
4 Tb 0.500 0.500 0.500

# 13
This record from Alexandria describes crystalline SiIr2N at its relaxed geometry. The functional is GGA-PBE.

Relative energy among the computed polymorphs ... 0.000 eV/atom
ΔE_f (raw) ... 0.1724 eV per atom
SG ... I-42d, No. 122

abc: 4.941 4.941 6.132
angles: 66.24 66.24 90.00
Element x y z (fractional)
1 N 0.250 0.750 0.500
2 N 0.500 0.500 0.000
3 Si 0.000 0.000 0.000
4 Si 0.750 0.250 0.500
5 Ir 0.875 0.810 0.750
6 Ir 0.560 0.125 0.250
7 Ir 0.375 0.440 0.750
8 Ir 0.190 0.625 0.250

# 14
This record from Alexandria describes crystalline ZrMn2Os at its relaxed geometry. The functional is GGA-PBE.

Relative energy among the computed polymorphs ... 0.118 eV/atom
SG ... P4/mmm, No. 123

abc: 2.989 2.989 6.790
angles: 90.00 90.00 90.00
Element x y z (fractional)
1 Os 0.500 0.500 0.250
2 Mn 0.000 0.000 0.033
3 Mn 0.000 0.000 0.467
4 Zr 0.500 0.500 0.750

# 15
This record from Alexandria describes crystalline K2PHSe4 at its relaxed geometry. The functional is GGA-PBE.

SG ... C2/c, No. 15

abc: 7.453 7.453 9.332
angles: 106.26 106.26 75.43
Element x y z (fractional)
1 K 0.000 0.000 0.500
2 K 0.500 0.500 0.000
3 K 0.500 0.000 0.500
4 K 0.500 0.000 0.000
5 P 0.000 0.000 0.000
6 P 0.500 0.500 0.500
7 Se 0.761 0.539 0.392
8 Se 0.278 0.667 0.301
9 Se 0.039 0.261 0.892
10 Se 0.961 0.739 0.108
11 Se 0.239 0.461 0.608
12 Se 0.722 0.333 0.699
13 Se 0.167 0.778 0.801
14 Se 0.833 0.222 0.199
15 H 0.000 0.500 0.500
16 H 0.000 0.500 0.000

# 16
This record from Alexandria describes crystalline Be5Ag4 at its relaxed geometry. The functional is GGA-PBE.

Relative energy among the computed polymorphs ... 0.000 eV/atom
SG ... I4/mmm, No. 139

abc: 5.862 5.862 5.862
angles: 95.62 95.62 143.51
Element x y z (fractional)
1 Ag 0.000 0.304 0.304
2 Ag 0.304 0.000 0.304
3 Ag 0.000 0.696 0.696
4 Ag 0.696 0.000 0.696
5 Be 0.354 0.646 0.000
6 Be 0.646 0.354 0.000
7 Be 0.354 0.354 0.708
8 Be 0.000 0.000 0.000
9 Be 0.646 0.646 0.292

# 17
This record from Alexandria describes crystalline LaOs2Ru at its relaxed geometry. The functional is GGA-PBE.

Relative energy among the computed polymorphs ... 0.390 eV/atom
SG ... F-43m, No. 216

abc: 4.657 4.657 4.657
angles: 60.00 60.00 60.00
Element x y z (fractional)
1 Os 0.250 0.250 0.250
2 Os 0.000 0.000 0.000
3 La 0.500 0.500 0.500
4 Ru 0.750 0.750 0.750

# 18
This record from Alexandria describes crystalline LiMg2NbS at its relaxed geometry. The functional is GGA-PBE.

ΔE_f (raw) ... 0.1048 eV per atom
SG ... P4/mmm, No. 123

abc: 4.827 4.651 4.827
angles: 90.00 90.00 90.00
Element x y z (fractional)
1 Mg 0.500 0.000 0.000
2 Mg 0.000 0.000 0.500
3 S 0.000 0.000 0.000
4 Li 0.500 0.500 0.500
5 Nb 0.000 0.500 0.000

# 19
This record from Alexandria describes crystalline SmHoInRh at its relaxed geometry. The functional is GGA-PBE.

SG ... F-43m, No. 216

abc: 5.140 5.140 5.140
angles: 60.00 60.00 60.00
Element x y z (fractional)
1 In 0.500 0.500 0.500
2 Rh 0.000 0.000 0.000
3 Sm 0.750 0.750 0.750
4 Ho 0.250 0.250 0.250

# 20
This record from Alexandria describes crystalline Er2MnGe4Pt3 at its relaxed geometry. The functional is GGA-PBE.

SG ... P-4m2, No. 115

abc: 4.071 4.071 11.058
angles: 90.00 90.00 90.00
Element x y z (fractional)
1 Er 0.000 0.500 0.741
2 Er 0.500 0.000 0.259
3 Ge 0.500 0.500 0.000
4 Ge 0.500 0.000 0.636
5 Ge 0.000 0.500 0.364
6 Ge 0.000 0.000 0.000
7 Pt 0.000 0.000 0.500
8 Pt 0.500 0.000 0.858
9 Pt 0.000 0.500 0.142
10 Mn 0.500 0.500 0.500

# 21
This record from Alexandria describes crystalline TiCd2Ge2 at its relaxed geometry. The functional is GGA-PBE.

SG ... P4/mbm, No. 127

abc: 6.869 6.869 4.267
angles: 90.00 90.00 90.00
Element x y z (fractional)
1 Ti 0.500 0.500 0.000
2 Ti 0.000 0.000 0.000
3 Cd 0.819 0.319 0.500
4 Cd 0.319 0.181 0.500
5 Cd 0.681 0.819 0.500
6 Cd 0.181 0.681 0.500
7 Ge 0.134 0.366 0.000
8 Ge 0.366 0.866 0.000
9 Ge 0.634 0.134 0.000
10 Ge 0.866 0.634 0.000

# 22
This record from Alexandria describes crystalline TiSi3Tc at its relaxed geometry. The functional is GGA-PBE.

Relative energy among the computed polymorphs ... 0.000 eV/atom
ΔE_f (raw) ... 0.6987 eV per atom
SG ... Pm-3m, No. 221

abc: 4.592 4.592 4.592
angles: 90.00 90.00 90.00
Element x y z (fractional)
1 Si 0.000 0.000 0.500
2 Si 0.000 0.500 0.000
3 Si 0.500 0.000 0.000
4 Ti 0.500 0.500 0.500
5 Tc 0.000 0.000 0.000

# 23
This record from Alexandria describes crystalline YPb at its relaxed geometry. The functional is GGA-PBE.

SG ... Pmmn, No. 59

abc: 3.679 6.304 5.252
angles: 90.00 90.00 90.00
Element x y z (fractional)
1 Y 0.000 0.500 0.333
2 Y 0.500 0.000 0.500
3 Pb 0.500 0.500 0.831
4 Pb 0.000 0.000 0.002

# 24
This record from Alexandria describes crystalline PrHoAg3 at its relaxed geometry. The functional is GGA-PBE.

SG ... Cmcm, No. 63

abc: 3.590 4.825 14.171
angles: 90.00 97.28 90.00
Element x y z (fractional)
1 Ag 0.524 0.750 0.048
2 Ag 0.377 0.250 0.754
3 Ag 0.623 0.750 0.246
4 Ag 0.320 0.750 0.640
5 Ag 0.680 0.250 0.360
6 Ag 0.476 0.250 0.952
7 Pr 0.076 0.250 0.151
8 Pr 0.924 0.750 0.849
9 Ho 0.210 0.750 0.420
10 Ho 0.790 0.250 0.580

# 25
This record from Alexandria describes crystalline FeCuSb at its relaxed geometry. The functional is GGA-PBE.

ΔE_f (raw) ... 0.0847 eV per atom
SG ... Cm, No. 8

abc: 4.138 7.139 4.135
angles: 106.89 119.99 90.01
Element x y z (fractional)
1 Cu 0.625 0.847 0.765
2 Cu 0.752 0.231 0.022
3 Sb 0.363 0.063 0.242
4 Sb 0.887 0.631 0.289
5 Fe 0.134 0.374 0.784
6 Fe 0.496 0.458 0.507

How do the records compare in DFT total energy? In the order shown, they have -2.826; -2.930; -8.998; -4.671; -2.898; -7.953; -4.417; -7.721; -5.412; -3.459; -5.243; -3.069; -7.695; -9.417; -3.350; -3.152; -8.453; -3.755; -5.369; -6.261; -3.707; -6.207; -5.396; -3.843; -5.476 eV/atom.
How do the records compare in calculated density? In the order shown, they have 3.1; 7.6; 15.9; 5.9; 5.6; 8.9; 8.3; 8.3; 11.9; 2.6; 8.6; 5.4; 11.5; 10.7; 3.0; 7.0; 14.4; 2.8; 9.2; 11.5; 6.9; 3.9; 8.1; 8.6; 8.0 Mg/m³.